Entry 1:
YRe2RuPt (PBE-GGA, optimized geometry); symmetry = P4/mmm (123); E_form = 14.48 eV per formula unit; magnetization = 2.264 Bohr magnetons per cell
1.0
4.798 0.000 0.000
0.000 4.866 0.000
0.000 0.000 4.798
Y Re Pt Ru
1 2 1 1
direct
0.000 0.000 0.000 Y
0.000 0.000 0.500 Re
0.500 0.000 0.000 Re
0.000 0.500 0.000 Pt
0.500 0.500 0.500 Ru

***

Entry 2:
Hf2TcHOs (PBE-GGA, optimized geometry); symmetry = P4/mmm (123); total DFT energy (no corrections) = -47.3 eV/cell; magnetization = 0.003 Bohr magnetons per cell
1.0
-2.678 -3.340 -1.761
2.582 -0.044 -3.842
2.005 -2.333 1.375
Hf Os Tc H
2 1 1 1
direct
0.000 0.500 0.000 Hf
0.500 0.000 0.000 Hf
0.500 0.500 0.500 Os
0.000 0.000 0.500 Tc
0.000 0.000 0.000 H

***

Entry 3:
TeI4Br (PBE-GGA, optimized geometry); symmetry = C2/m (12); total DFT energy (no corrections) = -22.0 eV/cell; magnetization = 0.000 Bohr magnetons per cell
1.0
-0.642 -1.331 -6.295
4.951 -7.952 1.177
-10.651 -0.580 3.016
Te I Br
2 8 2
direct
0.348 0.569 0.139 Te
0.652 0.431 0.861 Te
0.191 0.702 0.404 I
0.379 0.158 0.766 I
0.000 0.276 0.000 I
0.621 0.392 0.234 I
0.809 0.298 0.596 I
0.621 0.842 0.234 I
0.000 0.724 0.000 I
0.379 0.608 0.766 I
0.033 0.816 0.632 Br
0.967 0.184 0.368 Br

***

Entry 4:
Ac3PrHg (PBE-GGA, optimized geometry); energy above the lowest structure with this stoichiometry = 64.3 meV/atom; symmetry = C2/m (12); E_form = -0.13 eV per formula unit; magnetization = 0.000 Bohr magnetons per cell
1.0
-7.135 0.620 -3.382
-1.150 -4.539 6.388
3.586 6.998 3.533
Ac Pr Hg
6 2 2
direct
0.811 0.983 0.205 Ac
0.222 0.394 0.205 Ac
0.778 0.606 0.795 Ac
0.739 0.456 0.194 Ac
0.189 0.017 0.795 Ac
0.261 0.544 0.806 Ac
0.685 0.077 0.762 Pr
0.315 0.923 0.238 Pr
0.667 0.774 0.441 Hg
0.333 0.226 0.559 Hg

***

Entry 5:
CdHgBr2 (PBE-GGA, optimized geometry); energy above the lowest structure with this stoichiometry = 604.3 meV/atom; symmetry = F-43m (216); magnetization = 0.000 Bohr magnetons per cell
1.0
5.331 0.000 0.000
2.665 4.617 0.000
2.665 1.539 4.353
Hg Br Cd
1 2 1
direct
0.250 0.250 0.250 Hg
0.000 0.000 0.000 Br
0.750 0.750 0.750 Br
0.500 0.500 0.500 Cd

***

Entry 6:
NbTcSb3 (PBE-GGA, optimized geometry); energy above the lowest structure with this stoichiometry = 0.0 meV/atom; symmetry = Pm-3m (221); magnetization = 3.576 Bohr magnetons per cell
1.0
5.139 0.000 0.000
0.000 5.139 0.000
0.000 0.000 5.139
Sb Nb Tc
3 1 1
direct
0.000 0.500 0.000 Sb
0.000 0.000 0.500 Sb
0.500 0.000 0.000 Sb
0.500 0.500 0.500 Nb
0.000 0.000 0.000 Tc

***

Entry 7:
LaPr6Nd2Tm (PBE-GGA, optimized geometry); symmetry = C2/c (15); E_form = 1.19 eV per formula unit; magnetization = 0.000 Bohr magnetons per cell
1.0
-1.532 0.715 -9.152
8.793 -2.164 -1.724
-5.865 -7.103 0.344
La Pr Nd Tm
2 12 4 2
direct
0.250 0.930 0.070 La
0.750 0.070 0.930 La
0.089 0.076 0.779 Pr
0.411 0.221 0.924 Pr
0.911 0.924 0.221 Pr
0.589 0.779 0.076 Pr
0.319 0.032 0.471 Pr
0.181 0.529 0.968 Pr
0.681 0.968 0.529 Pr
0.819 0.471 0.032 Pr
0.084 0.722 0.428 Pr
0.416 0.572 0.278 Pr
0.916 0.278 0.572 Pr
0.584 0.428 0.722 Pr
0.435 0.795 0.697 Nd
0.065 0.303 0.205 Nd
0.565 0.205 0.303 Nd
0.935 0.697 0.795 Nd
0.250 0.436 0.564 Tm
0.750 0.564 0.436 Tm

***

Entry 8:
MnTlSi (PBE-GGA, optimized geometry); energy above the lowest structure with this stoichiometry = 112.2 meV/atom; symmetry = F-43m (216); magnetization = 3.598 Bohr magnetons per cell
1.0
4.439 0.000 0.000
2.220 3.845 0.000
2.220 1.282 3.625
Mn Si Tl
1 1 1
direct
0.750 0.750 0.750 Mn
0.000 0.000 0.000 Si
0.500 0.500 0.500 Tl

***

| no. | D(E_F) (states/eV/cell) |
| --- | --- |
| 1 | 7.56 |
| 2 | 0.97 |
| 3 | 9.31 |
| 4 | 16.28 |
| 5 | 1.67 |
| 6 | 4.16 |
| 7 | 27.20 |
| 8 | 2.26 |